No. 1
# ScTiTe2I PBE-GGA relaxed
# * spin magnetization: 1.204 μB per formula unit
# * energy relative to the elements, uncorrected: 23.539 kcal/mol of atoms
# * uncorrected energy: -17.0 eV per cell
# * energy above the most stable polymorph in this dataset: 1.140 eV/atom
data_ScTiTe2I
_chemical_formula_sum 'Sc1 Ti1 Te2 I1'
_cell_length_a 5.992
_cell_length_b 5.992
_cell_length_c 5.180
_cell_angle_alpha 90.00
_cell_angle_beta 90.00
_cell_angle_gamma 90.00
_symmetry_space_group_name_H-M 'P 4/m m m'
_symmetry_Int_Tables_number 123
_symmetry_space_group_name_Hall '-P 4 2'
loop_
_atom_site_label
_atom_site_fract_x
_atom_site_fract_y
_atom_site_fract_z
Sc1 0.000 0.000 0.000
Ti1 0.500 0.500 0.000
Te1 0.000 0.500 0.500
I1 0.000 0.000 0.500



No. 2
# Co2WSe PBE-GGA relaxed
# * spin magnetization: 0.003 μB per formula unit
# * energy relative to the elements, uncorrected: 11.427 kcal/mol of atoms
# * uncorrected energy: -28.7 eV per cell
data_Co2WSe
_chemical_formula_sum 'Co2 W1 Se1'
_cell_length_a 4.451
_cell_length_b 4.451
_cell_length_c 2.753
_cell_angle_alpha 90.00
_cell_angle_beta 90.00
_cell_angle_gamma 90.00
_symmetry_space_group_name_H-M 'P 4/m m m'
_symmetry_Int_Tables_number 123
_symmetry_space_group_name_Hall '-P 4 2'
loop_
_atom_site_label
_atom_site_fract_x
_atom_site_fract_y
_atom_site_fract_z
Co1 0.000 0.500 0.000
W1 0.000 0.000 0.500
Se1 0.500 0.500 0.500



No. 3
# LiErTmRu PBE-GGA relaxed
# * spin magnetization: 0.000 μB per formula unit
# * uncorrected energy: -86.1 eV per cell
# * calculated formation energy: -0.32 eV/atom
data_LiErTmRu
_chemical_formula_sum 'Li4 Er4 Tm4 Ru4'
_cell_length_a 6.865
_cell_length_b 6.865
_cell_length_c 6.865
_cell_angle_alpha 90.00
_cell_angle_beta 90.00
_cell_angle_gamma 90.00
_symmetry_space_group_name_H-M 'F -4 3 m'
_symmetry_Int_Tables_number 216
_symmetry_space_group_name_Hall 'F -4 2 3'
loop_
_atom_site_label
_atom_site_fract_x
_atom_site_fract_y
_atom_site_fract_z
Li1 0.000 0.000 0.000
Er1 0.250 0.250 0.250
Tm1 0.250 0.250 0.750
Ru1 0.000 0.000 0.500



No. 4
# BaSrTl2Br PBE-GGA relaxed
# * spin magnetization: 0.000 μB per formula unit
# * energy relative to the elements, uncorrected: -8.315 kcal/mol of atoms
# * uncorrected energy: -11.8 eV per cell
data_BaSrTl2Br
_chemical_formula_sum 'Ba1 Sr1 Tl2 Br1'
_cell_length_a 6.174
_cell_length_b 6.174
_cell_length_c 6.053
_cell_angle_alpha 90.00
_cell_angle_beta 90.00
_cell_angle_gamma 90.00
_symmetry_space_group_name_H-M 'P 4/m m m'
_symmetry_Int_Tables_number 123
_symmetry_space_group_name_Hall '-P 4 2'
loop_
_atom_site_label
_atom_site_fract_x
_atom_site_fract_y
_atom_site_fract_z
Ba1 0.000 0.000 0.000
Sr1 0.500 0.500 0.000
Tl1 0.000 0.500 0.500
Br1 0.000 0.000 0.500



No. 5
# Cd2NiMo PBE-GGA relaxed
# * spin magnetization: 0.549 μB per formula unit
# * uncorrected energy: -33.5 eV per cell
# * calculated formation energy: 0.42 eV/atom
# * energy above the most stable polymorph in this dataset: 0.290 eV/atom
data_Cd2NiMo
_chemical_formula_sum 'Cd4 Ni2 Mo2'
_cell_length_a 2.833
_cell_length_b 4.796
_cell_length_c 9.856
_cell_angle_alpha 90.00
_cell_angle_beta 90.00
_cell_angle_gamma 90.00
_symmetry_space_group_name_H-M 'I m m m'
_symmetry_Int_Tables_number 71
_symmetry_space_group_name_Hall '-I 2 2'
loop_
_atom_site_label
_atom_site_fract_x
_atom_site_fract_y
_atom_site_fract_z
Cd1 0.000 0.000 0.226
Ni1 0.000 0.500 0.500
Mo1 0.000 0.500 0.000



No. 6
# KDyHo2 PBE-GGA relaxed
# * spin magnetization: 0.000 μB per formula unit
# * uncorrected energy: -41.6 eV per cell
# * calculated formation energy: 0.25 eV/atom
data_KDyHo2
_chemical_formula_sum 'K3 Dy3 Ho6'
_cell_length_a 3.5621
_cell_length_b 3.5621
_cell_length_c 39.5550
_cell_angle_alpha 90.00
_cell_angle_beta 90.00
_cell_angle_gamma 120.00
_symmetry_space_group_name_H-M 'R -3 m'
_symmetry_Int_Tables_number 166
_symmetry_space_group_name_Hall '-R 3 2"'
loop_
_atom_site_label
_atom_site_fract_x
_atom_site_fract_y
_atom_site_fract_z
K1 0.0000 0.0000 0.0000
Dy1 0.0000 0.0000 0.5000
Ho1 0.0000 0.0000 0.0959



No. 7
# Ca2LaRh PBE-GGA relaxed
# * spin magnetization: 0.000 μB per formula unit
# * uncorrected energy: -34.8 eV per cell
# * calculated formation energy: -0.28 eV/atom
# * energy above the most stable polymorph in this dataset: 0.135 eV/atom
data_Ca2LaRh
_chemical_formula_sum 'Ca4 La2 Rh2'
_cell_length_a 3.581
_cell_length_b 4.659
_cell_length_c 15.418
_cell_angle_alpha 90.00
_cell_angle_beta 90.00
_cell_angle_gamma 90.00
_symmetry_space_group_name_H-M 'I m m m'
_symmetry_Int_Tables_number 71
_symmetry_space_group_name_Hall '-I 2 2'
loop_
_atom_site_label
_atom_site_fract_x
_atom_site_fract_y
_atom_site_fract_z
Ca1 0.000 0.000 0.167
La1 0.000 0.500 0.000
Rh1 0.000 0.500 0.500



No. 8
# Na2ReSBr PBE-GGA relaxed
# * spin magnetization: 1.823 μB per formula unit
# * energy relative to the elements, uncorrected: 0.920 kcal/mol of atoms
# * uncorrected energy: -20.7 eV per cell
# * energy above the most stable polymorph in this dataset: 0.086 eV/atom
data_Na2ReSBr
_chemical_formula_sum 'Na2 Re1 S1 Br1'
_cell_length_a 5.997
_cell_length_b 5.997
_cell_length_c 4.342
_cell_angle_alpha 90.00
_cell_angle_beta 90.00
_cell_angle_gamma 90.00
_symmetry_space_group_name_H-M 'P 4/m m m'
_symmetry_Int_Tables_number 123
_symmetry_space_group_name_Hall '-P 4 2'
loop_
_atom_site_label
_atom_site_fract_x
_atom_site_fract_y
_atom_site_fract_z
Na1 0.000 0.500 0.000
Re1 0.000 0.000 0.000
S1 0.000 0.000 0.500
Br1 0.500 0.500 0.500



No. 9
# CaAcCe PBE-GGA relaxed
# * spin magnetization: 1.078 μB per formula unit
# * uncorrected energy: -22.2 eV per cell
# * calculated formation energy: 0.31 eV/atom
# * energy above the most stable polymorph in this dataset: 0.160 eV/atom
data_CaAcCe
_chemical_formula_sum 'Ca2 Ac2 Ce2'
_cell_length_a 5.133
_cell_length_b 5.133
_cell_length_c 9.036
_cell_angle_alpha 90.00
_cell_angle_beta 90.00
_cell_angle_gamma 90.00
_symmetry_space_group_name_H-M 'P 4/n m m'
_symmetry_Int_Tables_number 129
loop_
_symmetry_equiv_pos_as_xyz
'x,y,z'
'-x,-y,-z'
'-y+1/2,x,z'
'y+1/2,-x,-z'
'-x+1/2,-y+1/2,z'
'x+1/2,y+1/2,-z'
'y,-x+1/2,z'
'-y,x+1/2,-z'
'x+1/2,-y,-z'
'-x+1/2,y,z'
'-y,-x,-z'
'y,x,z'
'-x,y+1/2,-z'
'x,-y+1/2,z'
'y+1/2,x+1/2,-z'
'-y+1/2,-x+1/2,z'
loop_
_atom_site_label
_atom_site_fract_x
_atom_site_fract_y
_atom_site_fract_z
Ca1 0.250 0.250 0.198
Ac1 0.250 0.250 0.781
Ce1 0.250 0.750 0.500



No. 10
# TaRu4 PBE-GGA relaxed
# * spin magnetization: 0.000 μB per formula unit
# * uncorrected energy: -94.2 eV per cell
# * calculated formation energy: 0.37 eV/atom
# * energy above the most stable polymorph in this dataset: 0.459 eV/atom
data_TaRu4
_chemical_formula_sum 'Ta2 Ru8'
_cell_length_a 3.687
_cell_length_b 3.687
_cell_length_c 11.831
_cell_angle_alpha 90.00
_cell_angle_beta 90.00
_cell_angle_gamma 90.00
_symmetry_space_group_name_H-M 'I 4/m m m'
_symmetry_Int_Tables_number 139
_symmetry_space_group_name_Hall '-I 4 2'
loop_
_atom_site_label
_atom_site_fract_x
_atom_site_fract_y
_atom_site_fract_z
Ta1 0.000 0.000 0.000
Ru1 0.000 0.000 0.401
Ru2 0.000 0.500 0.250



No. 11
# La2Pm6NdEr PBE-GGA relaxed
# * spin magnetization: 0.000 μB per formula unit
# * uncorrected energy: -186.3 eV per cell
# * calculated formation energy: 0.11 eV/atom
data_La2Pm6NdEr
_chemical_formula_sum 'La8 Pm24 Nd4 Er4'
_cell_length_a 9.207
_cell_length_b 15.281
_cell_length_c 10.058
_cell_angle_alpha 90.00
_cell_angle_beta 99.72
_cell_angle_gamma 90.00
_symmetry_space_group_name_H-M 'C 1 2/c 1'
_symmetry_Int_Tables_number 15
loop_
_symmetry_equiv_pos_as_xyz
'x,y,z'
'-x,-y,-z'
'-x,y,-z+1/2'
'x,-y,z+1/2'
'x+1/2,y+1/2,z'
'-x+1/2,-y+1/2,-z'
'-x+1/2,y+1/2,-z+1/2'
'x+1/2,-y+1/2,z+1/2'
loop_
_atom_site_label
_atom_site_fract_x
_atom_site_fract_y
_atom_site_fract_z
La1 0.244 0.049 0.041
Pm1 0.070 0.191 0.444
Pm2 0.098 0.396 0.620
Pm3 0.203 0.220 0.811
Nd1 0.000 0.013 0.750
Er1 0.000 0.406 0.250



No. 12
# LiPmThIn PBE-GGA relaxed
# * spin magnetization: 0.001 μB per formula unit
# * uncorrected energy: -69.3 eV per cell
# * calculated formation energy: -0.12 eV/atom
data_LiPmThIn
_chemical_formula_sum 'Li4 Pm4 Th4 In4'
_cell_length_a 7.625
_cell_length_b 7.625
_cell_length_c 7.625
_cell_angle_alpha 90.00
_cell_angle_beta 90.00
_cell_angle_gamma 90.00
_symmetry_space_group_name_H-M 'F -4 3 m'
_symmetry_Int_Tables_number 216
_symmetry_space_group_name_Hall 'F -4 2 3'
loop_
_atom_site_label
_atom_site_fract_x
_atom_site_fract_y
_atom_site_fract_z
Li1 0.000 0.000 0.000
Pm1 0.250 0.250 0.250
Th1 0.250 0.250 0.750
In1 0.000 0.000 0.500



No. 13
# BaZnCd2 PBE-GGA relaxed
# * spin magnetization: 0.000 μB per formula unit
# * uncorrected energy: -11.5 eV per cell
# * calculated formation energy: -0.18 eV/atom
data_BaZnCd2
_chemical_formula_sum 'Ba2 Zn2 Cd4'
_cell_length_a 8.276
_cell_length_b 4.787
_cell_length_c 6.653
_cell_angle_alpha 90.00
_cell_angle_beta 114.17
_cell_angle_gamma 90.00
_symmetry_space_group_name_H-M 'C 1 2/m 1'
_symmetry_Int_Tables_number 12
loop_
_symmetry_equiv_pos_as_xyz
'x,y,z'
'-x,-y,-z'
'-x,y,-z'
'x,-y,z'
'x+1/2,y+1/2,z'
'-x+1/2,-y+1/2,-z'
'-x+1/2,y+1/2,-z'
'x+1/2,-y+1/2,z'
loop_
_atom_site_label
_atom_site_fract_x
_atom_site_fract_y
_atom_site_fract_z
Ba1 0.000 0.000 0.000
Zn1 0.000 0.500 0.500
Cd1 0.203 0.000 0.608